Entry 1:
A plane-wave DFT calculation with PBE-GGA was carried out for LiCo2BiB after structural relaxation.

Calculated values
As for the total DFT energy (no corrections): -18.63 eV per cell. The space group is P4/mmm (123). The total magnetic moment is 3.2 μB/f.u.

abc: 4.096 4.605 4.096
angles: 90.00 90.00 90.00
Site moments in Bohr magnetons follow the coordinates.
Sites, in units of the cell vectors:
B (0.500, 0.500, 0.500)  0.06
Co (0.500, 0.000, 0.000)  1.56
Co (0.000, 0.000, 0.500)  1.58
Li (0.000, 0.000, 0.000)  -0.05
Bi (0.000, 0.500, 0.000)  0.04

Entry 2:
A plane-wave DFT calculation with PBE-GGA was carried out for Tb2ZnGa6Cu after structural relaxation.

Calculated values
As for the total DFT energy (no corrections): -70.75 eV per cell. The space group is R-3m (166). The total magnetic moment is 0.0 μB/f.u.

abc: 6.280 6.280 12.073
angles: 74.92 74.92 60.00
Sites, in units of the cell vectors:
Ga (0.656, 0.225, 0.894)
Ga (0.775, 0.775, 0.106)
Ga (0.668, 0.068, 0.596)
Ga (0.775, 0.344, 0.106)
Ga (0.068, 0.668, 0.596)
Ga (0.344, 0.775, 0.106)
Ga (0.932, 0.332, 0.404)
Ga (0.332, 0.332, 0.404)
Ga (0.332, 0.932, 0.404)
Ga (0.225, 0.225, 0.894)
Ga (0.225, 0.656, 0.894)
Ga (0.668, 0.668, 0.596)
Tb (0.106, 0.106, 0.681)
Tb (0.284, 0.284, 0.148)
Tb (0.716, 0.716, 0.852)
Tb (0.894, 0.894, 0.319)
Zn (0.428, 0.428, 0.717)
Zn (0.572, 0.572, 0.283)
Cu (0.000, 0.000, 0.000)
Cu (0.500, 0.500, 0.500)

Entry 3:
A plane-wave DFT calculation with PBE-GGA was carried out for HfSn3Te after structural relaxation.

Calculated values
As for the total DFT energy (no corrections): -22.99 eV per cell. The calculation puts the formation energy from raw total energies at 0.42 eV per atom. The calculation puts the relative energy among the computed polymorphs at 0 meV/atom. The space group is Pm-3m (221). The total magnetic moment is 0.0 μB/f.u.

abc: 5.588 5.588 5.588
angles: 90.00 90.00 90.00
Sites, in units of the cell vectors:
Sn (0.000, 0.000, 0.500)
Sn (0.000, 0.500, 0.000)
Sn (0.500, 0.000, 0.000)
Te (0.500, 0.500, 0.500)
Hf (0.000, 0.000, 0.000)

Entry 4:
A plane-wave DFT calculation with PBE-GGA was carried out for SrSc2Cr after structural relaxation.

Calculated values
As for the total DFT energy (no corrections): -21.74 eV per cell. The calculation puts the relative energy among the computed polymorphs at 261 meV/atom. The space group is F-43m (216). The total magnetic moment is 3.6 μB/f.u.

abc: 5.296 5.296 5.296
angles: 120.03 120.03 89.95
Site moments in Bohr magnetons follow the coordinates.
Sites, in units of the cell vectors:
Cr (0.750, 0.250, 0.500)  3.62
Sc (0.000, 0.000, 0.000)  -0.19
Sc (0.250, 0.750, 0.500)  -0.34
Sr (0.500, 0.500, 0.000)  0.01

Entry 5:
A plane-wave DFT calculation with PBE-GGA was carried out for ErMgCoCu after structural relaxation.

Calculated values
As for the total DFT energy (no corrections): -17.68 eV per cell. The space group is F-43m (216). The total magnetic moment is 0.1 μB/f.u.

abc: 4.586 4.586 4.586
angles: 60.00 60.00 60.00
Site moments in Bohr magnetons follow the coordinates.
Sites, in units of the cell vectors:
Mg (0.500, 0.500, 0.500)  0.00
Co (0.250, 0.250, 0.250)  0.13
Cu (0.750, 0.750, 0.750)  0.00
Er (0.000, 0.000, 0.000)  -0.02

- Which of these has the highest total DFT energy (no corrections)?
  ErMgCoCu